PBE-GGA Ga2Sn2Au, relaxed; excess energy over the best structure of this formula in the dataset = 0.065 eV/atom; total moment = 0.0 μB/f.u.; E_form = 0.039 eV/atom
1.0
-0.1252 3.3449 -1.5729
1.1347 -1.4630 -3.2016
-7.5037 -0.4043 -4.6108
Au Sn Ga
1 2 2
Cartesian
0.0000 0.0000 0.0000
-1.0397 0.6815 -2.8161
-5.4545 0.7961 -6.5692
-3.5621 1.9408 -4.2854
-2.9322 -0.4632 -5.0998